A.
DFT (PBE) results for a relaxed SrCrTc2 crystal.

CIF file:
```
data_SrCrTc2
_symmetry_space_group_name_H-M 'F m -3 m'
_symmetry_Int_Tables_number 225
_symmetry_space_group_name_Hall '-F 4 2 3'
_cell_length_a 6.4346
_cell_length_b 6.4346
_cell_length_c 6.4346
_cell_angle_alpha 90.00
_cell_angle_beta 90.00
_cell_angle_gamma 90.00
loop_
_atom_site_label
_atom_site_fract_x
_atom_site_fract_y
_atom_site_fract_z
Sr1 0.0000 0.0000 0.0000
Cr1 0.0000 0.0000 0.5000
Tc1 0.2500 0.2500 0.2500
```

## Properties
- magnetic moment (μB/f.u.) = 0.00

***

B.
DFT (PBE) results for a relaxed SrCrTc2 crystal.

CIF file:
```
data_SrCrTc2
_symmetry_space_group_name_H-M 'P 1 2/m 1'
_symmetry_Int_Tables_number 10
_cell_length_a 2.9929
_cell_length_b 3.6898
_cell_length_c 7.0820
_cell_angle_alpha 90.00
_cell_angle_beta 100.12
_cell_angle_gamma 90.00
loop_
_symmetry_equiv_pos_as_xyz
'x,y,z'
'-x,-y,-z'
'-x,y,-z'
'x,-y,z'
loop_
_atom_site_label
_atom_site_fract_x
_atom_site_fract_y
_atom_site_fract_z
Sr1 0.0000 0.0000 0.0000
Cr1 0.0000 0.0000 0.5000
Tc1 0.3869 0.5000 0.6648
```

## Properties
- magnetic moment (μB/f.u.) = 0.00

***

Energy above the most stable structure, in eV/atom: A 0.380; B 0.000

***

A.
DFT (PBE) results for a relaxed SrCrTc2 crystal.

CIF file:
```
data_SrCrTc2
_symmetry_space_group_name_H-M 'P 4 m m'
_symmetry_Int_Tables_number 99
_cell_length_a 3.1354
_cell_length_b 3.1354
_cell_length_c 7.9778
_cell_angle_alpha 90.00
_cell_angle_beta 90.00
_cell_angle_gamma 90.00
loop_
_symmetry_equiv_pos_as_xyz
'x,y,z'
'-y,x,z'
'-x,-y,z'
'y,-x,z'
'-x,y,z'
'y,x,z'
'x,-y,z'
'-y,-x,z'
loop_
_atom_site_label
_atom_site_fract_x
_atom_site_fract_y
_atom_site_fract_z
Sr1 0.0000 0.0000 0.0000
Cr1 0.5000 0.5000 0.6634
Tc1 0.0000 0.0000 0.4716
Tc2 0.5000 0.5000 0.3020
```

## Properties
- magnetic moment (μB/f.u.) = 3.59

***

B.
DFT (PBE) results for a relaxed SrCrTc2 crystal.

CIF file:
```
data_SrCrTc2
_symmetry_space_group_name_H-M 'C 1 2/m 1'
_symmetry_Int_Tables_number 12
_cell_length_a 9.1038
_cell_length_b 3.0387
_cell_length_c 5.9045
_cell_angle_alpha 90.00
_cell_angle_beta 105.10
_cell_angle_gamma 90.00
loop_
_symmetry_equiv_pos_as_xyz
'x,y,z'
'-x,-y,-z'
'-x,y,-z'
'x,-y,z'
'x+1/2,y+1/2,z'
'-x+1/2,-y+1/2,-z'
'-x+1/2,y+1/2,-z'
'x+1/2,-y+1/2,z'
loop_
_atom_site_label
_atom_site_fract_x
_atom_site_fract_y
_atom_site_fract_z
Sr1 0.0000 0.0000 0.0000
Cr1 0.0000 0.5000 0.5000
Tc1 0.2077 0.0000 0.6456
```

## Properties
- magnetic moment (μB/f.u.) = 0.00

***

C.
DFT (PBE) results for a relaxed SrCrTc2 crystal.

CIF file:
```
data_SrCrTc2
_symmetry_space_group_name_H-M 'C 1 m 1'
_symmetry_Int_Tables_number 8
_cell_length_a 9.3609
_cell_length_b 3.1762
_cell_length_c 5.8249
_cell_angle_alpha 90.00
_cell_angle_beta 105.02
_cell_angle_gamma 90.00
loop_
_symmetry_equiv_pos_as_xyz
'x,y,z'
'x,-y,z'
'x+1/2,y+1/2,z'
'x+1/2,-y+1/2,z'
loop_
_atom_site_label
_atom_site_fract_x
_atom_site_fract_y
_atom_site_fract_z
Sr1 0.0000 0.0000 0.0000
Cr1 0.2939 0.5000 0.3852
Tc1 0.2131 0.0000 0.6189
Tc2 0.4930 0.0000 0.4958
```

## Properties
- magnetic moment (μB/f.u.) = 0.03

***

Energy above the most stable structure, in eV/atom: A 0.000; B 0.099; C 0.060

***

A.
DFT (PBE) results for a relaxed SrCrTc2 crystal.

CIF file:
```
data_SrCrTc2
_symmetry_space_group_name_H-M 'I 41/a m d'
_symmetry_Int_Tables_number 141
_cell_length_a 4.9037
_cell_length_b 4.9037
_cell_length_c 16.0542
_cell_angle_alpha 90.00
_cell_angle_beta 90.00
_cell_angle_gamma 90.00
loop_
_symmetry_equiv_pos_as_xyz
'x,y,z'
'-x,-y,-z'
'-y+1/4,x+3/4,z+1/4'
'y+1/4,-x+3/4,-z+1/4'
'-x+1/2,-y,z+1/2'
'x+1/2,y,-z+1/2'
'y+1/4,-x+1/4,z+3/4'
'-y+1/4,x+1/4,-z+3/4'
'x,-y,-z'
'-x,y,z'
'-y+1/4,-x+1/4,-z+3/4'
'y+1/4,x+1/4,z+3/4'
'-x+1/2,y,-z+1/2'
'x+1/2,-y,z+1/2'
'y+1/4,x+3/4,-z+1/4'
'-y+1/4,-x+3/4,z+1/4'
'x+1/2,y+1/2,z+1/2'
'-x+1/2,-y+1/2,-z+1/2'
'-y+3/4,x+1/4,z+3/4'
'y+3/4,-x+1/4,-z+3/4'
'-x,-y+1/2,z'
'x,y+1/2,-z'
'y+3/4,-x+3/4,z+1/4'
'-y+3/4,x+3/4,-z+1/4'
'x+1/2,-y+1/2,-z+1/2'
'-x+1/2,y+1/2,z+1/2'
'-y+3/4,-x+3/4,-z+1/4'
'y+3/4,x+3/4,z+1/4'
'-x,y+1/2,-z'
'x,-y+1/2,z'
'y+3/4,x+1/4,-z+3/4'
'-y+3/4,-x+1/4,z+3/4'
loop_
_atom_site_label
_atom_site_fract_x
_atom_site_fract_y
_atom_site_fract_z
Sr1 0.0000 0.2500 0.3750
Cr1 0.0000 0.2500 0.8750
Tc1 0.0000 0.0000 0.0000
```

## Properties
- magnetic moment (μB/f.u.) = 0.00

***

B.
DFT (PBE) results for a relaxed SrCrTc2 crystal.

CIF file:
```
data_SrCrTc2
_symmetry_space_group_name_H-M 'I m m m'
_symmetry_Int_Tables_number 71
_symmetry_space_group_name_Hall '-I 2 2'
_cell_length_a 2.9293
_cell_length_b 5.1348
_cell_length_c 9.5112
_cell_angle_alpha 90.00
_cell_angle_beta 90.00
_cell_angle_gamma 90.00
loop_
_atom_site_label
_atom_site_fract_x
_atom_site_fract_y
_atom_site_fract_z
Sr1 0.0000 0.0000 0.0000
Cr1 0.0000 0.0000 0.5000
Tc1 0.0000 0.5000 0.2082
```

## Properties
- magnetic moment (μB/f.u.) = 0.65

***

C.
DFT (PBE) results for a relaxed SrCrTc2 crystal.

CIF file:
```
data_SrCrTc2
_symmetry_space_group_name_H-M 'C m m m'
_symmetry_Int_Tables_number 65
_symmetry_space_group_name_Hall '-C 2 2'
_cell_length_a 5.3913
_cell_length_b 9.6571
_cell_length_c 2.7784
_cell_angle_alpha 90.00
_cell_angle_beta 90.00
_cell_angle_gamma 90.00
loop_
_atom_site_label
_atom_site_fract_x
_atom_site_fract_y
_atom_site_fract_z
Sr1 0.0000 0.0000 0.0000
Cr1 0.0000 0.5000 0.0000
Tc1 0.2500 0.2500 0.5000
```

## Properties
- magnetic moment (μB/f.u.) = 3.23

***

D.
DFT (PBE) results for a relaxed SrCrTc2 crystal.

CIF file:
```
data_SrCrTc2
_symmetry_space_group_name_H-M 'I m m 2'
_symmetry_Int_Tables_number 44
_cell_length_a 3.1774
_cell_length_b 5.1382
_cell_length_c 9.6795
_cell_angle_alpha 90.00
_cell_angle_beta 90.00
_cell_angle_gamma 90.00
loop_
_symmetry_equiv_pos_as_xyz
'x,y,z'
'-x,-y,z'
'-x,y,z'
'x,-y,z'
'x+1/2,y+1/2,z+1/2'
'-x+1/2,-y+1/2,z+1/2'
'-x+1/2,y+1/2,z+1/2'
'x+1/2,-y+1/2,z+1/2'
loop_
_atom_site_label
_atom_site_fract_x
_atom_site_fract_y
_atom_site_fract_z
Sr1 0.0000 0.0000 0.0000
Cr1 0.0000 0.5000 0.2101
Tc1 0.0000 0.0000 0.4729
Tc2 0.0000 0.5000 0.7836
```

## Properties
- magnetic moment (μB/f.u.) = 2.74

***

Energy above the most stable structure, in eV/atom: A 0.200; B 0.000; C 0.267; D 0.032